(1)
A crystal of CaTaSe relaxed with PBEsol. Source: Alexandria, functional meta-GGA SCAN.

Cell and atoms, written as POSCAR:
```
CaTaSe
1.0
3.344 0.000 0.000
0.000 3.344 0.000
-1.672 -1.672 5.705
Se Ca Ta
1 1 1
direct
0.699 0.699 0.398 Se
0.001 0.001 0.003 Ca
0.300 0.300 0.600 Ta
```

Summary:
- DOS at the Fermi energy (states/eV per cell) = 2.90
- electronic total energy (eV per atom) = -32.42
- formation energy (no corrections) (eV/atom) = -0.308

---

(2)
A crystal of CaTeSe2 relaxed with PBEsol. Source: Alexandria, functional meta-GGA SCAN.

Cell and atoms, written as POSCAR:
```
CaTeSe2
1.0
-3.272 -2.589 -0.151
1.564 -1.775 -3.440
2.983 -3.969 3.405
Se Te Ca
2 1 1
direct
0.500 0.500 0.000 Se
0.000 0.000 0.500 Se
0.000 0.000 0.000 Te
0.500 0.500 0.500 Ca
```

Summary:
- DOS at the Fermi energy (states/eV per cell) = 1.14
- electronic total energy (eV per atom) = -22.84
- formation energy (no corrections) (eV/atom) = -1.076

---

(3)
A crystal of CaTiSe2 relaxed with PBEsol. Source: Alexandria, functional meta-GGA SCAN.

Cell and atoms, written as POSCAR:
```
CaTiSe2
1.0
4.804 0.000 0.000
2.402 4.160 0.000
2.402 1.387 3.922
Se Ca Ti
2 1 1
direct
0.250 0.250 0.250 Se
0.750 0.750 0.750 Se
0.000 0.000 0.000 Ca
0.500 0.500 0.500 Ti
```

Summary:
- electronic total energy (eV per atom) = -17.80
- formation energy (no corrections) (eV/atom) = -1.342

---

(4)
A crystal of Ca2Ti2Se relaxed with PBEsol. Source: Alexandria, functional meta-GGA SCAN.

Cell and atoms, written as POSCAR:
```
Ca2Ti2Se
1.0
4.217 0.000 0.000
0.000 4.217 0.000
-2.108 -2.108 6.975
Ca Ti Se
2 2 1
direct
0.750 0.250 0.500 Ca
0.250 0.750 0.500 Ca
0.430 0.430 0.859 Ti
0.570 0.570 0.141 Ti
0.000 0.000 0.000 Se
```

Summary:
- DOS at the Fermi energy (states/eV per cell) = 2.84
- electronic total energy (eV per atom) = -13.66
- formation energy (no corrections) (eV/atom) = 0.633

---

(5)
A crystal of CaTiSe2 relaxed with PBEsol. Source: Alexandria, functional meta-GGA SCAN.

Cell and atoms, written as POSCAR:
```
CaTiSe2
1.0
3.642 0.000 0.000
1.821 3.154 0.000
1.821 1.051 8.684
Se Ti Ca
2 1 1
direct
0.109 0.109 0.672 Se
0.891 0.891 0.328 Se
0.500 0.500 0.500 Ti
0.000 0.000 0.000 Ca
```

Summary:
- DOS at the Fermi energy (states/eV per cell) = 2.76
- electronic total energy (eV per atom) = -17.55
- formation energy (no corrections) (eV/atom) = -1.092

---

(6)
A crystal of CaWSe2 relaxed with PBEsol. Source: Alexandria, functional meta-GGA SCAN.

Cell and atoms, written as POSCAR:
```
CaWSe2
1.0
-1.972 1.717 -1.774
-2.187 -0.162 2.275
3.150 7.285 3.547
W Ca Se
1 1 2
direct
0.000 0.000 0.461 W
0.500 0.500 0.745 Ca
0.500 0.500 0.322 Se
0.000 0.000 0.971 Se
```

Summary:
- DOS at the Fermi energy (states/eV per cell) = 3.05
- electronic total energy (eV per atom) = -30.00
- formation energy (no corrections) (eV/atom) = -0.126

---

(7)
A crystal of CaW2Se relaxed with PBEsol. Source: Alexandria, functional meta-GGA SCAN.

Cell and atoms, written as POSCAR:
```
CaW2Se
1.0
-0.493 -0.519 2.909
0.718 -2.882 -0.392
7.898 1.744 1.648
W Se Ca
2 1 1
direct
0.000 0.000 0.309 W
0.000 0.000 0.691 W
0.500 0.500 0.500 Se
0.500 0.500 0.000 Ca
```

Summary:
- DOS at the Fermi energy (states/eV per cell) = 2.72
- electronic total energy (eV per atom) = -41.33
- formation energy (no corrections) (eV/atom) = 0.953

---

(8)
A crystal of CaWSe4 relaxed with PBEsol. Source: Alexandria, functional meta-GGA SCAN.

Cell and atoms, written as POSCAR:
```
CaWSe4
1.0
-1.525 -4.953 -2.314
-2.098 -4.135 3.273
-5.490 -1.394 -0.359
Se Ca W
4 1 1
direct
0.376 0.376 0.872 Se
0.872 0.376 0.376 Se
0.376 0.872 0.376 Se
0.376 0.376 0.376 Se
0.000 0.000 0.000 Ca
0.750 0.750 0.750 W
```

Summary:
- DOS at the Fermi energy (states/eV per cell) = 3.57
- electronic total energy (eV per atom) = -25.77
- formation energy (no corrections) (eV/atom) = 0.836